CuRu2W: relaxed, PBE-GGA.

abc: 3.1955 3.1955 5.6276
angles: 90.00 90.00 90.00
Space group P4mm (No. 99)
Symmetry-distinct sites (fractional):
Cu 0.0000 0.0000 0.0000 x1
Ru 0.0000 0.0000 0.5164 x1
Ru 0.5000 0.5000 0.2088 x1
W 0.5000 0.5000 0.7589 x1

Total moment ... 0.74 μB per cell
Calculated formation energy ... 34 kJ per mole of atoms
Polymorph energy (0 for the lowest one) ... 0.273 eV per atom